# AcCrF6

A relaxed AcCrF6 crystal (PBE+U, Alexandria).

Summary:
**Polymorph energy (0 for the lowest one)**: 6.1 meV/atom
**Mass density**: 4723 kg/m³
**Magnetic moment**: 0.3750 μB/atom

a b c (Å): 5.5324 5.5969 5.9976
angles (deg): 63.12 63.37 60.71
Last column: nearest neighbours and their distance in Å.
Fractional coordinates of all 8 atoms:
Ac (0.0000, 0.0000, 0.0000)  6 F 2.43-2.44
Cr (0.5000, 0.5000, 0.5000)  6 F 1.94-1.95
F (0.1514, 0.7150, 0.7198)  1 Cr 1.95
F (0.2842, 0.5813, 0.2764)  1 Cr 1.94
F (0.4134, 0.1524, 0.7270)  1 Cr 1.95
F (0.5866, 0.8476, 0.2730)  1 Cr 1.95
F (0.7158, 0.4187, 0.7236)  1 Cr 1.94
F (0.8486, 0.2850, 0.2802)  1 Cr 1.95